5
Lattice="4.518 0.000 0.000 0.000 4.518 0.000 0.000 0.000 4.518" Properties=species:S:1:pos:R:3 comment="PBE ZrGeRu3, optimized geometry" spacegroup="Pm-3m, No. 221" polymorph_energy_ev_per_atom=0.000 formation_energy_ev_per_atom=0.40 pbc="T T T"
Zr 2.259 2.259 2.259
Ru 0.000 2.259 0.000
Ru 0.000 0.000 2.259
Ru 2.259 0.000 0.000
Ge 0.000 0.000 0.000

=====

5
Lattice="5.009 0.000 0.000 0.000 5.009 0.000 0.000 0.000 5.009" Properties=species:S:1:pos:R:3 comment="PBE ZrGe3Ru, optimized geometry" spacegroup="Pm-3m, No. 221" formation_energy_ev_per_atom=1.30 pbc="T T T"
Zr 0.000 0.000 0.000
Ge 0.000 2.504 0.000
Ge 0.000 0.000 2.504
Ge 2.504 0.000 0.000
Ru 2.504 2.504 2.504

=====

8
Lattice="3.990 0.000 0.000 0.000 3.990 0.000 0.000 0.000 8.846" Properties=species:S:1:pos:R:3 comment="PBE ZrGe2Ru, optimized geometry" spacegroup="P4/nmm, No. 129" formation_energy_ev_per_atom=-0.50 pbc="T T T"
Ru 0.000 0.000 0.000
Ru 1.995 1.995 0.000
Zr 0.000 1.995 2.193
Zr 1.995 0.000 6.652
Ge 1.995 0.000 1.536
Ge 1.995 1.995 4.423
Ge 0.000 0.000 4.423
Ge 0.000 1.995 7.309

=====

18
Lattice="3.738 0.000 0.000 0.000 6.778 0.000 0.000 0.000 12.086" Properties=species:S:1:pos:R:3 comment="PBE ZrGeRu, optimized geometry" spacegroup="Pmma, No. 51" formation_energy_ev_per_atom=-0.66 pbc="T T T"
Ru 1.869 2.926 4.531
Ru 1.869 2.926 1.512
Ru 1.869 3.851 10.574
Ru 1.869 3.851 7.555
Ru 1.869 1.357 9.064
Ru 1.869 5.421 3.021
Zr 0.000 5.025 0.496
Zr 0.000 1.752 11.589
Zr 0.000 1.752 6.539
Zr 0.000 1.027 3.021
Zr 0.000 5.025 5.546
Zr 0.000 5.751 9.064
Ge 1.869 0.376 4.867
Ge 0.000 2.994 9.064
Ge 1.869 6.402 7.219
Ge 1.869 0.376 1.176
Ge 0.000 3.784 3.021
Ge 1.869 6.402 10.910

=====

5
Lattice="-2.024 -4.357 0.194 2.797 -1.461 -3.628 3.347 -1.414 3.150" Properties=species:S:1:pos:R:3 comment="PBE ZrGeRu3, optimized geometry" spacegroup="Pm-3m, No. 221" polymorph_energy_ev_per_atom=1.253 formation_energy_ev_per_atom=1.65 pbc="T T T"
Ru -1.012 -2.179 0.097
Ru 1.673 -0.707 1.575
Ru 1.399 -0.731 -1.814
Zr 0.000 0.000 0.000
Ge 2.060 -3.617 -0.142

=====

4
Lattice="-3.451 -3.019 0.022 -4.033 1.142 1.859 -3.654 0.675 -2.686" Properties=species:S:1:pos:R:3 comment="PBE ZrGe2Ru, optimized geometry" spacegroup="Fm-3m, No. 225" formation_energy_ev_per_atom=-0.23 pbc="T T T"
Zr 0.000 0.000 0.000
Ru -5.569 -0.601 -0.402
Ge -2.784 -0.301 -0.201
Ge -8.353 -0.902 -0.603

=====

5
Lattice="4.756 0.000 0.000 0.000 4.756 0.000 0.000 0.000 4.756" Properties=species:S:1:pos:R:3 comment="PBE ZrGe3Ru, optimized geometry" spacegroup="Pm-3m, No. 221" formation_energy_ev_per_atom=0.45 pbc="T T T"
Ru 0.000 0.000 0.000
Ge 0.000 0.000 2.378
Ge 2.378 0.000 0.000
Ge 0.000 2.378 0.000
Zr 2.378 2.378 2.378

=====

5
Lattice="-1.310 -3.207 -3.698 3.334 -3.387 1.756 -3.584 -1.979 2.986" Properties=species:S:1:pos:R:3 comment="PBE Zr3GeRu, optimized geometry" spacegroup="Pm-3m, No. 221" polymorph_energy_ev_per_atom=0.000 formation_energy_ev_per_atom=0.27 pbc="T T T"
Zr -1.792 -0.990 1.493
Zr 1.667 -1.694 0.878
Zr -0.655 -1.603 -1.849
Ge -0.780 -4.287 0.522
Ru 0.000 0.000 0.000

=====

10
Lattice="6.521 0.000 0.000 0.000 6.521 0.000 0.000 0.000 4.179" Properties=species:S:1:pos:R:3 comment="PBE Zr2Ge2Ru, optimized geometry" spacegroup="P4/mbm, No. 127" formation_energy_ev_per_atom=-0.75 pbc="T T T"
Ge 4.164 0.903 0.000
Ge 5.618 4.164 0.000
Ge 0.903 2.358 0.000
Ge 2.358 5.618 0.000
Zr 4.384 5.398 2.089
Zr 5.398 2.137 2.089
Zr 2.137 1.123 2.089
Zr 1.123 4.384 2.089
Ru 3.261 3.261 0.000
Ru 0.000 0.000 0.000

=====

4
Lattice="-3.872 -1.423 0.553 -2.333 -1.019 -3.293 -0.477 -5.071 -0.724" Properties=species:S:1:pos:R:3 comment="PBE ZrGe2Ru, optimized geometry" spacegroup="R-3m, No. 166" formation_energy_ev_per_atom=-0.46 pbc="T T T"
Zr 0.000 0.000 0.000
Ge -5.124 -5.333 -2.611
Ge -1.558 -2.180 -0.852
Ru -3.341 -3.756 -1.732

=====

5
Lattice="4.949 0.000 0.000 0.000 4.949 0.000 0.000 0.000 4.949" Properties=species:S:1:pos:R:3 comment="PBE Zr3GeRu, optimized geometry" spacegroup="Pm-3m, No. 221" polymorph_energy_ev_per_atom=0.392 formation_energy_ev_per_atom=0.67 pbc="T T T"
Zr 0.000 2.475 0.000
Zr 0.000 0.000 2.475
Zr 2.475 0.000 0.000
Ge 0.000 0.000 0.000
Ru 2.475 2.475 2.475

=====

2
Lattice="-1.438 2.297 0.182 -1.127 -0.385 -4.102 -2.896 -1.891 0.981" Properties=species:S:1:pos:R:3 comment="PBE GeS, optimized geometry" formation_energy_uncorrected_ev_per_atom=0.03 spacegroup="Pm, No. 6" pbc="T T T"
Ge -1.916 -0.762 -0.268
S -0.918 0.029 -2.374

=====

Number 1: DFT total energy -7.801 eV per atom. Number 2: DFT total energy -5.031 eV per atom. Number 3: DFT total energy -7.264 eV per atom. Number 4: DFT total energy -8.141 eV per atom. Number 5: DFT total energy -6.548 eV per atom. Number 6: DFT total energy -6.998 eV per atom. Number 7: DFT total energy -5.884 eV per atom. Number 8: DFT total energy -7.633 eV per atom. Number 9: DFT total energy -7.870 eV per atom. Number 10: DFT total energy -7.225 eV per atom. Number 11: DFT total energy -7.242 eV per atom. Number 12: DFT total energy -4.340 eV per atom.